DFT (PBE) results for a geometry-optimized TbMgSb2 structure.

Unit cell a=4.462 b=4.462 c=7.190 alpha=71.92 beta=71.92 gamma=60.00
Fractional positions:
Tb: 0.668 0.668 0.995
Mg: 0.496 0.496 0.511
Sb: 0.087 0.087 0.739
Sb: 0.248 0.248 0.255

Results
- Total moment: 0.00 μB/f.u.
- Energy above the most stable polymorph in this dataset: 23.5 kJ/mol of formula units
- Formation energy without anion corrections: -0.596 eV/atom
- V: 28.9 Å³/atom